(1)
Computed, not measured: crystalline Li2CePr at its relaxed geometry at the PBE level of DFT.

a b c (Å): 3.2978 3.2978 9.9031
angles (deg): 90.00 90.00 90.00
Space group P4/mmm (No. 123)
Asymmetric unit:
1 Li 0.0000 0.0000 0.2477 x2
2 Ce 0.5000 0.5000 0.0000 x1
3 Pr 0.5000 0.5000 0.5000 x1

## Properties
- energy relative to the lowest polymorph listed for this composition (meV per atom) = 0
- D(E_F) (states/eV/atom) = 2.23
- total magnetization (μB per atom) = 0.280
- total DFT energy (no corrections) (eV/cell) = -13.58
- E_form (eV per atom) = 0.24
- calculated density (g cm⁻³) = 4.55

***

(2)
Computed, not measured: crystalline LiEr2Tm3Se6 at its relaxed geometry at the PBE level of DFT.

a b c (Å): 17.4981 4.0087 8.0205
angles (deg): 90.00 103.27 90.00
Space group C2/m (No. 12)
Asymmetric unit:
1 Li 0.0000 0.0000 0.0000 x2
2 Er 0.1690 0.5000 0.3404 x4
3 Tm 0.0000 0.0000 0.5000 x2
4 Tm 0.1666 0.5000 0.8290 x4
5 Se 0.0005 0.5000 0.2439 x4
6 Se 0.1639 0.0000 0.0801 x4
7 Se 0.1645 0.0000 0.5851 x4

## Properties
- D(E_F) (states/eV/atom) = 0.29
- total magnetization (μB per atom) = 0.000
- total DFT energy (no corrections) (eV/cell) = -131.52
- calculated density (g cm⁻³) = 8.02

***

Which value of total magnetization does entry 1 give?
0.280 μB per atom

***

What is the total DFT energy (no corrections) in the first record?
-13.58 eV/cell

***

Please write out number 2 again, unchanged.
Computed, not measured: crystalline LiEr2Tm3Se6 at its relaxed geometry at the PBE level of DFT.

a b c (Å): 17.4981 4.0087 8.0205
angles (deg): 90.00 103.27 90.00
Space group C2/m (No. 12)
Asymmetric unit:
1 Li 0.0000 0.0000 0.0000 x2
2 Er 0.1690 0.5000 0.3404 x4
3 Tm 0.0000 0.0000 0.5000 x2
4 Tm 0.1666 0.5000 0.8290 x4
5 Se 0.0005 0.5000 0.2439 x4
6 Se 0.1639 0.0000 0.0801 x4
7 Se 0.1645 0.0000 0.5851 x4

## Properties
- D(E_F) (states/eV/atom) = 0.29
- total magnetization (μB per atom) = 0.000
- total DFT energy (no corrections) (eV/cell) = -131.52
- calculated density (g cm⁻³) = 8.02